Model P:
Computed, not measured: a geometry-optimized Nd3ThAs4 structure at the PBE level of DFT.

Computed properties:
total magnetization: 0.0 μB/f.u.

Lattice parameters (Å, degrees): 8.533 12.060 4.271 90.00 90.00 90.00
Space group Cmmm (No. 65)
Symmetry-distinct sites (fractional):
Nd: 0.000 0.000 0.000 x2
Nd: 0.250 0.250 0.500 x4
Th: 0.000 0.500 0.000 x2
As: 0.000 0.252 0.000 x4
As: 0.247 0.500 0.500 x4

=====

Model Q:
Computed, not measured: a geometry-optimized Nd3ThAs4 structure at the PBE level of DFT.

Computed properties:
total magnetization: 0.0 μB/f.u.

Lattice parameters (Å, degrees): 6.035 6.035 6.035 90.00 90.00 90.00
Space group Pm-3m (No. 221)
Symmetry-distinct sites (fractional):
Nd: 0.000 0.000 0.500 x3
Th: 0.500 0.500 0.500 x1
As: 0.000 0.000 0.000 x1
As: 0.000 0.500 0.500 x3

=====

The structure with the most favorable energy is model P; the runner-up is 14 meV per atom above it.

=====

Model P:
Computed, not measured: a geometry-optimized Nd3TmAs4 structure at the PBE level of DFT.

Computed properties:
total magnetization: 0.0 μB/f.u.

Lattice parameters (Å, degrees): 8.442 11.940 4.226 90.00 90.00 90.00
Space group Cmmm (No. 65)
Symmetry-distinct sites (fractional):
Nd: 0.000 0.000 0.000 x2
Nd: 0.250 0.250 0.500 x4
Tm: 0.000 0.500 0.000 x2
As: 0.000 0.254 0.000 x4
As: 0.241 0.500 0.500 x4

=====

Model Q:
Computed, not measured: a geometry-optimized Nd3TmAs4 structure at the PBE level of DFT.

Computed properties:
total magnetization: 0.0 μB/f.u.

Lattice parameters (Å, degrees): 5.973 5.973 5.973 90.00 90.00 90.00
Space group Pm-3m (No. 221)
Symmetry-distinct sites (fractional):
Nd: 0.000 0.000 0.500 x3
Tm: 0.500 0.500 0.500 x1
As: 0.000 0.000 0.000 x1
As: 0.000 0.500 0.500 x3

=====

The structure with the most favorable energy is model P; the runner-up is 8 meV per atom above it.

=====

Model P:
Computed, not measured: a geometry-optimized NdZn3As3 structure at the PBE level of DFT.

Computed properties:
total magnetization: 0.0 μB/f.u.

Lattice parameters (Å, degrees): 10.0241 10.0241 4.0768 90.00 90.00 120.00
Space group P6_3/m (No. 176)
Symmetry-distinct sites (fractional):
Nd: 0.3333 0.6667 0.2500 x2
Zn: 0.0477 0.6611 0.7500 x6
As: 0.1126 0.4223 0.7500 x6

=====

Model Q:
Computed, not measured: a geometry-optimized NdZn3As3 structure at the PBE level of DFT.

Computed properties:
total magnetization: 0.0 μB/f.u.

Lattice parameters (Å, degrees): 20.496 7.298 4.196 90.00 90.00 90.00
Space group Ama2 (No. 40)
Symmetry-distinct sites (fractional):
Nd: 0.000 0.000 0.000 x4
Zn: 0.130 0.168 0.493 x8
Zn: 0.250 0.306 0.111 x4
As: 0.088 0.334 0.997 x8
As: 0.250 0.136 0.618 x4

=====

The structure with the most favorable energy is model Q; the runner-up is 51 meV per atom above it.

=====

Model P:
Computed, not measured: a geometry-optimized NdZrAs2 structure at the PBE level of DFT.

Computed properties:
total magnetization: 0.0 μB/f.u.

Lattice parameters (Å, degrees): 3.9716 3.9716 21.0473 90.00 90.00 120.00
Space group R3m (No. 160, hexagonal axes)
Symmetry-distinct sites (fractional):
Nd: 0.0000 0.0000 0.0000 x3
Zr: 0.0000 0.0000 0.8262 x3
As: 0.0000 0.0000 0.2372 x3
As: 0.0000 0.0000 0.4219 x3

=====

Model Q:
Computed, not measured: a geometry-optimized NdZrAs2 structure at the PBE level of DFT.

Computed properties:
total magnetization: 0.0 μB/f.u.

Lattice parameters (Å, degrees): 4.0370 4.0370 20.1059 90.00 90.00 120.00
Space group R-3m (No. 166, hexagonal axes)
Symmetry-distinct sites (fractional):
Nd: 0.0000 0.0000 0.0000 x3
Zr: 0.0000 0.0000 0.5000 x3
As: 0.0000 0.0000 0.2421 x6

=====

The structure with the most favorable energy is model Q; the runner-up is 89 meV per atom above it.

=====

Model P:
Computed, not measured: a geometry-optimized NiAs3 structure at the PBE level of DFT.

Computed properties:
total magnetization: 0.0 μB/f.u.

Lattice parameters (Å, degrees): 2.790 2.790 9.156 90.00 90.00 90.00
Space group P4/mmm (No. 123)
Symmetry-distinct sites (fractional):
Ni: 0.000 0.000 0.000 x1
As: 0.000 0.000 0.500 x1
As: 0.500 0.500 0.180 x2

=====

Model Q:
Computed, not measured: a geometry-optimized NiAs3 structure at the PBE level of DFT.

Computed properties:
total magnetization: 0.0 μB/f.u.

Lattice parameters (Å, degrees): 4.640 4.640 4.640 90.00 90.00 90.00
Space group Pm-3m (No. 221)
Symmetry-distinct sites (fractional):
Ni: 0.000 0.000 0.000 x1
As: 0.000 0.000 0.500 x3

=====

The structure with the most favorable energy is model P; the runner-up is 453 meV per atom above it.

=====

Model P:
Computed, not measured: a geometry-optimized NiAs3 structure at the PBE level of DFT.

Computed properties:
total magnetization: 0.0 μB/f.u.

Lattice parameters (Å, degrees): 3.373 3.905 10.804 90.00 90.00 90.00
Space group Immm (No. 71)
Symmetry-distinct sites (fractional):
Ni: 0.000 0.000 0.000 x2
As: 0.000 0.000 0.500 x2
As: 0.000 0.500 0.327 x4

=====

Model Q:
Computed, not measured: a geometry-optimized NiAs3 structure at the PBE level of DFT.

Computed properties:
total magnetization: 0.0 μB/f.u.

Lattice parameters (Å, degrees): 5.173 5.173 5.173 90.00 90.00 90.00
Space group Im-3m (No. 229)
Symmetry-distinct sites (fractional):
Ni: 0.000 0.000 0.000 x2
As: 0.000 0.000 0.500 x6

=====

Model R:
Computed, not measured: a geometry-optimized NiAs3 structure at the PBE level of DFT.

Computed properties:
total magnetization: 0.0 μB/f.u.

Lattice parameters (Å, degrees): 3.681 3.687 5.343 90.00 90.00 90.00
Space group Pmm2 (No. 25)
Symmetry-distinct sites (fractional):
Ni: 0.000 0.000 0.000 x1
As: 0.000 0.500 0.663 x1
As: 0.500 0.000 0.338 x1
As: 0.500 0.500 0.001 x1

=====

The structure with the most favorable energy is model Q; the runner-up is 10 meV per atom above it.